{
  "formula": "LaGdRhAu",
  "functional": "PBE",
  "state": "optimized geometry",
  "lattice_angstrom": [[5.127, 0.000, 0.000], [2.563, 4.440, 0.000], [2.563, 1.480, 4.186]],
  "species": ["Gd", "Rh", "La", "Au"],
  "fractional_positions": [[0.750, 0.750, 0.750], [0.500, 0.500, 0.500], [0.250, 0.250, 0.250], [0.000, 0.000, 0.000]],
  "formation_enthalpy_0k_ev_per_atom": -0.73,
  "space_group": "F-43m, No. 216"
}

{
  "formula": "GeH2F2",
  "functional": "PBE",
  "state": "optimized geometry",
  "lattice_angstrom": [[-5.549, 6.097, 3.461], [-6.584, -3.015, -5.244], [-0.612, -1.476, 1.617]],
  "species": ["F", "F", "F", "F", "H", "H", "H", "H", "Ge", "Ge"],
  "fractional_positions": [[0.121, 0.379, 0.000], [0.621, 0.121, 0.000], [0.879, 0.621, 0.000], [0.379, 0.879, 0.000], [0.123, 0.377, 0.500], [0.623, 0.123, 0.500], [0.377, 0.877, 0.500], [0.877, 0.623, 0.500], [0.000, 0.000, 0.000], [0.500, 0.500, 0.000]],
  "final_energy_ev_per_atom": -3.879,
  "space_group": "P4/mbm, No. 127"
}

{
  "formula": "La6Ge3TeS2",
  "functional": "PBE",
  "state": "optimized geometry",
  "lattice_angstrom": [[-2.472, 3.575, 0.558], [-0.955, -1.988, 8.513], [9.078, 3.648, -0.366]],
  "species": ["Te", "La", "La", "La", "La", "La", "La", "S", "S", "Ge", "Ge", "Ge"],
  "fractional_positions": [[0.500, 0.000, 0.000], [0.673, 0.087, 0.347], [0.998, 0.733, 0.996], [0.333, 0.417, 0.666], [0.327, 0.913, 0.653], [0.667, 0.583, 0.334], [0.002, 0.267, 0.004], [0.831, 0.664, 0.662], [0.169, 0.336, 0.338], [0.165, 0.831, 0.329], [0.500, 0.500, 0.000], [0.835, 0.169, 0.671]],
  "e_form_raw_ev_per_atom": -1.40,
  "space_group": "C2/m, No. 12"
}

{
  "formula": "PbS2NCl",
  "functional": "PBE",
  "state": "optimized geometry",
  "lattice_angstrom": [[5.321, 0.000, 0.000], [0.000, 5.321, 0.000], [0.000, 0.000, 5.523]],
  "species": ["N", "S", "S", "Pb", "Cl"],
  "fractional_positions": [[0.500, 0.500, 0.500], [0.000, 0.500, 0.000], [0.500, 0.000, 0.000], [0.000, 0.000, 0.000], [0.000, 0.000, 0.500]],
  "e_form_raw_ev_per_atom": 1.34,
  "space_group": "P4/mmm, No. 123"
}

{
  "formula": "Pm3Zn6Ag5",
  "functional": "PBE",
  "state": "optimized geometry",
  "lattice_angstrom": [[-3.137, 2.076, -2.422], [-6.090, -5.766, -1.187], [-6.528, 1.115, 5.280]],
  "species": ["Ag", "Ag", "Ag", "Ag", "Ag", "Pm", "Pm", "Pm", "Zn", "Zn", "Zn", "Zn", "Zn", "Zn"],
  "fractional_positions": [[0.335, 0.017, 0.313], [0.000, 0.500, 0.500], [0.665, 0.983, 0.687], [0.665, 0.687, 0.983], [0.335, 0.313, 0.017], [0.299, 0.701, 0.701], [0.000, 0.000, 0.000], [0.701, 0.299, 0.299], [0.870, 0.418, 0.842], [0.130, 0.582, 0.158], [0.870, 0.842, 0.418], [0.500, 0.312, 0.688], [0.130, 0.158, 0.582], [0.500, 0.688, 0.312]],
  "formation_enthalpy_0k_ev_per_atom": -0.26,
  "space_group": "Immm, No. 71"
}

{
  "formula": "FeCu2Te",
  "functional": "PBE",
  "state": "optimized geometry",
  "lattice_angstrom": [[-2.563, 1.560, 1.365], [-2.072, -1.997, -1.609], [0.110, -3.541, 4.253]],
  "species": ["Fe", "Te", "Cu", "Cu"],
  "fractional_positions": [[0.000, 0.000, 0.500], [0.500, 0.500, 0.721], [0.500, 0.500, 0.235], [0.000, 0.000, 0.044]],
  "e_form_raw_ev_per_atom": 0.28,
  "space_group": "P4mm, No. 99"
}

{
  "formula": "TbEr5Bi6",
  "functional": "PBE",
  "state": "optimized geometry",
  "lattice_angstrom": [[7.706, 0.210, 0.000], [2.371, 7.337, 0.000], [1.186, 3.669, 6.677]],
  "species": ["Bi", "Bi", "Bi", "Bi", "Bi", "Bi", "Tb", "Er", "Er", "Er", "Er", "Er"],
  "fractional_positions": [[0.749, 0.084, 0.335], [0.251, 0.916, 0.665], [0.251, 0.581, 0.335], [0.250, 0.252, 0.000], [0.749, 0.419, 0.665], [0.750, 0.748, 0.000], [0.000, 0.000, 0.000], [0.000, 0.667, 0.666], [0.500, 0.166, 0.669], [0.000, 0.333, 0.334], [0.500, 0.500, 0.000], [0.500, 0.834, 0.331]],
  "formation_enthalpy_0k_ev_per_atom": -0.82,
  "space_group": "C2/m, No. 12"
}

{
  "formula": "TiGaCu2",
  "functional": "PBE",
  "state": "optimized geometry",
  "lattice_angstrom": [[-2.810, -0.332, -0.084], [0.041, -1.012, 2.644], [-0.842, 6.503, 2.502]],
  "species": ["Cu", "Cu", "Ti", "Ga"],
  "fractional_positions": [[0.000, 0.000, 0.762], [0.000, 0.000, 0.238], [0.500, 0.500, 0.500], [0.500, 0.500, 0.000]],
  "formation_enthalpy_0k_ev_per_atom": -0.11,
  "space_group": "P4/mmm, No. 123"
}

{
  "formula": "NbOsIO2",
  "functional": "PBE",
  "state": "optimized geometry",
  "lattice_angstrom": [[3.820, 0.000, 0.000], [0.000, 3.820, 0.000], [0.000, 0.000, 8.026]],
  "species": ["Nb", "I", "O", "O", "Os"],
  "fractional_positions": [[0.500, 0.500, 0.500], [0.000, 0.000, 0.500], [0.000, 0.500, 0.000], [0.500, 0.000, 0.000], [0.000, 0.000, 0.000]],
  "e_form_raw_ev_per_atom": 0.22,
  "space_group": "P4/mmm, No. 123"
}

{
  "formula": "KZnTc",
  "functional": "PBE",
  "state": "optimized geometry",
  "lattice_angstrom": [[-1.775, 0.943, -4.440], [-4.802, -0.220, -0.802], [-2.528, 4.090, -0.796]],
  "species": ["Tc", "Zn", "K"],
  "fractional_positions": [[0.500, 0.500, 0.500], [0.250, 0.250, 0.250], [0.000, 0.000, 0.000]],
  "formation_enthalpy_0k_ev_per_atom": 1.44,
  "space_group": "F-43m, No. 216"
}

{
  "formula": "CaMnBe2",
  "functional": "PBE",
  "state": "optimized geometry",
  "lattice_angstrom": [[-2.278, -1.934, 0.008], [1.916, -2.257, 0.405], [-0.544, 0.667, 6.290]],
  "species": ["Be", "Be", "Ca", "Mn"],
  "fractional_positions": [[0.000, 0.000, 0.586], [0.000, 0.000, 0.914], [0.500, 0.500, 0.250], [0.500, 0.500, 0.750]],
  "formation_enthalpy_0k_ev_per_atom": 0.24,
  "space_group": "P4/mmm, No. 123"
}

{
  "formula": "W5N",
  "functional": "PBE",
  "state": "optimized geometry",
  "lattice_angstrom": [[2.994, 0.000, 0.000], [0.000, 4.902, 0.000], [0.000, -2.451, 6.069]],
  "species": ["W", "W", "W", "W", "W", "N"],
  "fractional_positions": [[0.000, 0.685, 0.369], [0.500, 0.119, 0.238], [0.500, 0.881, 0.762], [0.000, 0.315, 0.631], [0.500, 0.500, 0.000], [0.000, 0.000, 0.000]],
  "e_form_raw_ev_per_atom": 0.41,
  "space_group": "Cmmm, No. 65"
}

One value per record, in order, for density of states at the Fermi level: 3.9; 1.5; 4.3; 5.9; 7.1; 3.0; 2.1; 2.5; 2.9; 3.6; 2.8; 5.3 states/eV/cell.
One value per record, in order, for calculated density: 10.4; 2.1; 5.8; 3.4; 8.1; 8.6; 10.0; 7.2; 6.3; 4.1; 3.3; 17.4 g/cm3.